(1)
Density functional theory data (PBE-GGA) for a relaxed ZrAgHgAu crystal.

abc: 4.805 4.805 4.805
angles: 60.00 60.00 60.00
Positions (direct):
1 Zr 0.750 0.750 0.750
2 Au 0.000 0.000 0.000
3 Hg 0.500 0.500 0.500
4 Ag 0.250 0.250 0.250

For the raw total energy, the calculation gives -3.9760 eV per atom. Its calculated formation energy is -231 meV/atom. The space group is F-43m (216).

=====

(2)
Density functional theory data (PBE-GGA) for a relaxed Ho4AgAu3 crystal.

abc: 5.095 7.123 10.192
angles: 90.00 90.00 90.00
Positions (direct):
1 Au 0.000 0.000 0.000
2 Au 0.000 0.000 0.500
3 Au 0.500 0.000 0.750
4 Au 0.500 0.000 0.250
5 Au 0.500 0.500 0.750
6 Au 0.500 0.500 0.250
7 Ho 0.500 0.752 0.000
8 Ho 0.500 0.752 0.500
9 Ho 0.500 0.248 0.000
10 Ho 0.500 0.248 0.500
11 Ho 0.000 0.752 0.750
12 Ho 0.000 0.752 0.250
13 Ho 0.000 0.248 0.250
14 Ho 0.000 0.248 0.750
15 Ag 0.000 0.500 0.000
16 Ag 0.000 0.500 0.500

For the raw total energy, the calculation gives -4.6139 eV per atom. Its calculated formation energy is -740 meV/atom. The space group is P4/mmm (123).

=====

(3)
Density functional theory data (PBE-GGA) for a relaxed Ho3Ag2Au2 crystal.

abc: 3.892 3.606 11.792
angles: 90.00 80.50 90.00
Positions (direct):
1 Ho 0.846 0.000 0.307
2 Ho 0.000 0.000 0.000
3 Ho 0.154 0.000 0.693
4 Ag 0.575 0.500 0.851
5 Ag 0.425 0.500 0.149
6 Au 0.707 0.500 0.586
7 Au 0.293 0.500 0.414

For the raw total energy, the calculation gives -4.2400 eV per atom. Its calculated formation energy is -527 meV/atom. The space group is Cmmm (65).

=====

(4)
Density functional theory data (PBE-GGA) for a relaxed Ho3AgAu crystal.

abc: 5.052 5.052 10.121
angles: 90.00 75.55 90.00
Last column: magnetic moment on the atom in μB.
Positions (direct):
1 Ho 0.759 0.250 0.131  0.10
2 Ho 0.388 0.250 0.872  0.09
3 Ho 0.574 0.250 0.501  -0.01
4 Ho 0.260 0.750 0.128  0.09
5 Ho 0.889 0.750 0.869  0.10
6 Ho 0.074 0.750 0.499  -0.01
7 Ag 0.481 0.750 0.686  0.00
8 Ag 0.167 0.250 0.314  0.00
9 Au 0.664 0.750 0.321  0.00
10 Au 0.985 0.250 0.679  0.00

For the raw total energy, the calculation gives -4.4380 eV per atom. The calculation puts the distance to the lowest polymorph of the same formula at 0.0 kJ/mol of atoms. Its calculated formation energy is -466 meV/atom. The space group is Cmcm (63).

=====

(5)
Density functional theory data (PBE-GGA) for a relaxed Ho5AgAu4 crystal.

abc: 3.563 3.563 18.200
angles: 90.00 90.00 90.00
Positions (direct):
1 Ho 0.500 0.500 0.103
2 Ho 0.500 0.500 0.301
3 Ho 0.500 0.500 0.500
4 Ho 0.500 0.500 0.699
5 Ho 0.500 0.500 0.897
6 Ag 0.000 0.000 0.000
7 Au 0.000 0.000 0.200
8 Au 0.000 0.000 0.400
9 Au 0.000 0.000 0.600
10 Au 0.000 0.000 0.800

For the raw total energy, the calculation gives -4.6534 eV per atom. Its calculated formation energy is -768 meV/atom. The space group is P4/mmm (123).

=====

(6)
Density functional theory data (PBE-GGA) for a relaxed HoAg8Au6 crystal.

abc: 7.916 7.916 7.216
angles: 56.73 56.73 60.00
Positions (direct):
1 Ho 0.000 0.000 0.000
2 Ag 0.564 0.183 0.389
3 Ag 0.817 0.135 0.611
4 Ag 0.135 0.436 0.611
5 Ag 0.749 0.749 0.753
6 Ag 0.251 0.251 0.247
7 Ag 0.865 0.564 0.389
8 Ag 0.183 0.865 0.389
9 Ag 0.436 0.817 0.611
10 Au 0.368 0.089 0.881
11 Au 0.911 0.338 0.119
12 Au 0.338 0.632 0.119
13 Au 0.662 0.368 0.881
14 Au 0.089 0.662 0.881
15 Au 0.632 0.911 0.119

For the raw total energy, the calculation gives -3.2097 eV per atom. Its calculated formation energy is -73 meV/atom. The space group is R-3 (148).

=====

Q: Which of these has the highest calculated formation energy?
A: HoAg8Au6

=====

Q: Among the records above, which one has the highest calculated formation energy?
A: HoAg8Au6